Computed, not measured: a relaxed structure of Pr4TmAl at the PBE-GGA level of DFT.

## Properties
total magnetic moment = 0.0 Bohr magnetons per cell
space-group type = C2/c (15)
E_form = -0.02 eV/atom
D(E_F) = 8.226 states/eV/f.u.

Cell: 8.4297 8.4297 6.4045 Å, 100.21 100.21 115.08°
Last column: nearest neighbours and their distance in Å.
Atoms (fractional coordinates):
Pr 0.0830 0.7151 0.9508  2 Al 3.18-3.19, 3 Pr 3.44-3.54
Pr 0.1728 0.3932 0.6262  2 Al 3.28-3.31, 2 Tm 3.43-3.58, 3 Pr 3.44-3.67
Pr 0.2849 0.9170 0.5492  2 Al 3.18-3.19, 3 Pr 3.44-3.54
Pr 0.3932 0.1728 0.1262  2 Al 3.28-3.31, 2 Tm 3.43-3.58, 3 Pr 3.44-3.67
Pr 0.6068 0.8272 0.8738  2 Al 3.28-3.31, 2 Tm 3.43-3.58, 3 Pr 3.44-3.67
Pr 0.7151 0.0830 0.4508  2 Al 3.18-3.19, 3 Pr 3.44-3.54
Pr 0.8272 0.6068 0.3738  2 Al 3.28-3.31, 2 Tm 3.43-3.58, 3 Pr 3.44-3.67
Pr 0.9170 0.2849 0.0492  2 Al 3.18-3.19, 3 Pr 3.44-3.54
Tm 0.4077 0.5923 0.2500  10 Pr 3.43-3.83
Tm 0.5923 0.4077 0.7500  10 Pr 3.43-3.83
Al 0.0001 0.9999 0.2500  8 Pr 3.18-3.31, 2 Al 3.20
Al 0.9999 0.0001 0.7500  8 Pr 3.18-3.31, 2 Al 3.20

***

Computed, not measured: a relaxed structure of PrTm4Al2 at the PBE-GGA level of DFT.

## Properties
total magnetic moment = 0.0 Bohr magnetons per cell
space-group type = R-3m (166)
E_form = -0.20 eV/atom
D(E_F) = 5.594 states/eV/f.u.
energy relative to the lowest polymorph listed for this composition = 0.000 eV/atom

Cell: 8.3238 8.3238 8.3238 Å, 37.03 37.03 37.03°
Last column: nearest neighbours and their distance in Å.
Atoms (fractional coordinates):
Pr 0.0000 0.0000 0.0000  6 Al 3.28, 2 Tm 3.59
Tm 0.1546 0.1546 0.1546  1 Al 2.96, 3 Tm 3.10
Tm 0.4217 0.4217 0.4217  4 Al 3.17-3.24, 3 Tm 3.42
Tm 0.5783 0.5783 0.5783  4 Al 3.17-3.24, 3 Tm 3.42
Tm 0.8454 0.8454 0.8454  1 Al 2.96, 3 Tm 3.10
Al 0.2822 0.2822 0.2822  5 Tm 2.96-3.24, 3 Pr 3.28
Al 0.7178 0.7178 0.7178  5 Tm 2.96-3.24, 3 Pr 3.28

***

Computed, not measured: a relaxed structure of PrTm6Al6 at the PBE-GGA level of DFT.

## Properties
total magnetic moment = 0.0 Bohr magnetons per cell
space-group type = P6/mmm (191)
E_form = -0.32 eV/atom
D(E_F) = 15.104 states/eV/f.u.

Cell: 5.8739 5.8739 10.4380 Å, 90.00 90.00 120.00°
Last column: nearest neighbours and their distance in Å.
Atoms (fractional coordinates):
Pr 0.0000 0.0000 0.0000  8 Tm 3.39-3.52
Tm 0.0000 0.0000 0.3375  6 Al 3.09, 1 Tm 3.39
Tm 0.0000 0.0000 0.6625  6 Al 3.09, 1 Tm 3.39
Tm 0.3333 0.6667 0.0000  6 Al 3.07, 3 Pr 3.39, 3 Tm 3.39
Tm 0.3333 0.6667 0.5000  6 Al 3.15, 3 Tm 3.39
Tm 0.6667 0.3333 0.0000  6 Al 3.07, 3 Pr 3.39, 3 Tm 3.39
Tm 0.6667 0.3333 0.5000  6 Al 3.15, 3 Tm 3.39
Al 0.0000 0.5000 0.2453  4 Al 2.94, 6 Tm 3.07-3.15
Al 0.0000 0.5000 0.7547  4 Al 2.94, 6 Tm 3.07-3.15
Al 0.5000 0.0000 0.2453  4 Al 2.94, 6 Tm 3.07-3.15
Al 0.5000 0.0000 0.7547  4 Al 2.94, 6 Tm 3.07-3.15
Al 0.5000 0.5000 0.2453  4 Al 2.94, 6 Tm 3.07-3.15
Al 0.5000 0.5000 0.7547  4 Al 2.94, 6 Tm 3.07-3.15

***

Computed, not measured: a relaxed structure of Pr7TmAl4 at the PBE-GGA level of DFT.

## Properties
total magnetic moment = 0.0 Bohr magnetons per cell
space-group type = C2/m (12)
E_form = -0.06 eV/atom
D(E_F) = 12.487 states/eV/f.u.

Cell: 7.6484 7.6484 10.7728 Å, 121.44 121.44 43.80°
Last column: nearest neighbours and their distance in Å.
Atoms (fractional coordinates):
Pr 0.0000 0.0000 0.0000  2 Tm 2.85, 4 Al 2.99-3.07
Pr 0.2069 0.2069 0.6500  4 Al 3.03-3.26
Pr 0.2951 0.2951 0.1183  4 Pr 3.26-3.63, 4 Al 3.38-3.56
Pr 0.4338 0.4338 0.6143  5 Al 3.20-3.44, 2 Pr 3.26-3.45
Pr 0.5662 0.5662 0.3857  5 Al 3.20-3.44, 2 Pr 3.26-3.45
Pr 0.7049 0.7049 0.8817  4 Pr 3.26-3.63, 4 Al 3.38-3.56
Pr 0.7931 0.7931 0.3500  4 Al 3.03-3.26
Tm 0.5000 0.5000 0.0000  2 Pr 2.85
Al 0.0511 0.0511 0.7587  1 Al 2.77, 2 Pr 3.03-3.07
Al 0.1739 0.1739 0.3311  1 Al 2.77, 1 Pr 2.99
Al 0.8261 0.8261 0.6689  1 Al 2.77, 1 Pr 2.99
Al 0.9489 0.9489 0.2413  1 Al 2.77, 2 Pr 3.03-3.07

***

Computed, not measured: a relaxed structure of Pr4TmAl4 at the PBE-GGA level of DFT.

## Properties
total magnetic moment = 0.0 Bohr magnetons per cell
space-group type = P4_2/n (86)
E_form = -0.15 eV/atom
D(E_F) = 7.604 states/eV/f.u.

Cell: 8.9437 8.9437 6.0910 Å, 90.00 90.00 90.00°
Last column: nearest neighbours and their distance in Å.
Atoms (fractional coordinates):
Pr 0.0764 0.8240 0.1251  1 Tm 3.09, 4 Al 3.19-3.40, 1 Pr 3.38
Pr 0.1760 0.5764 0.6251  1 Tm 3.09, 4 Al 3.19-3.40, 1 Pr 3.38
Pr 0.3240 0.9236 0.6251  1 Tm 3.09, 4 Al 3.19-3.40, 1 Pr 3.38
Pr 0.4236 0.6760 0.1251  1 Tm 3.09, 4 Al 3.19-3.40, 1 Pr 3.38
Pr 0.5764 0.3240 0.8749  1 Tm 3.09, 4 Al 3.19-3.40, 1 Pr 3.38
Pr 0.6760 0.0764 0.3749  1 Tm 3.09, 4 Al 3.19-3.40, 1 Pr 3.38
Pr 0.8240 0.4236 0.3749  1 Tm 3.09, 4 Al 3.19-3.40, 1 Pr 3.38
Pr 0.9236 0.1760 0.8749  1 Tm 3.09, 4 Al 3.19-3.40, 1 Pr 3.38
Tm 0.2500 0.2500 0.7500  4 Al 3.01, 4 Pr 3.09
Tm 0.7500 0.7500 0.2500  4 Al 3.01, 4 Pr 3.09
Al 0.0656 0.1617 0.3572  2 Al 2.90, 1 Tm 3.01, 2 Pr 3.19-3.20
Al 0.1617 0.4344 0.1428  2 Al 2.90, 1 Tm 3.01, 2 Pr 3.19-3.20
Al 0.3383 0.0656 0.1428  2 Al 2.90, 1 Tm 3.01, 2 Pr 3.19-3.20
Al 0.4344 0.3383 0.3572  2 Al 2.90, 1 Tm 3.01, 2 Pr 3.19-3.20
Al 0.5656 0.6617 0.6428  2 Al 2.90, 1 Tm 3.01, 2 Pr 3.19-3.20
Al 0.6617 0.9344 0.8572  2 Al 2.90, 1 Tm 3.01, 2 Pr 3.19-3.20
Al 0.8383 0.5656 0.8572  2 Al 2.90, 1 Tm 3.01, 2 Pr 3.19-3.20
Al 0.9344 0.8383 0.6428  2 Al 2.90, 1 Tm 3.01, 2 Pr 3.19-3.20

***

Computed, not measured: a relaxed structure of PrTm7Al5 at the PBE-GGA level of DFT.

## Properties
total magnetic moment = 0.0 Bohr magnetons per cell
space-group type = Imm2 (44)
E_form = -0.24 eV/atom
D(E_F) = 11.840 states/eV/f.u.

Cell: 7.9626 7.9626 7.9626 Å, 135.42 100.85 95.72°
Last column: nearest neighbours and their distance in Å.
Atoms (fractional coordinates):
Pr 0.0000 0.0000 0.0000  8 Tm 3.45-3.76, 6 Al 3.81-3.86
Tm 0.1904 0.4943 0.6961  5 Al 3.01-3.23, 3 Tm 3.23-3.36
Tm 0.3203 0.9807 0.3396  5 Al 3.15-3.25, 4 Tm 3.25-3.37, 1 Pr 3.45
Tm 0.3308 0.3308 0.0000  6 Al 3.06-3.22, 1 Tm 3.39
Tm 0.6411 0.9807 0.6604  5 Al 3.15-3.25, 4 Tm 3.25-3.37, 1 Pr 3.45
Tm 0.6482 0.6482 0.0000  4 Al 3.16, 5 Tm 3.23-3.49
Tm 0.7564 0.2564 0.5000  4 Al 3.03, 6 Tm 3.23-3.37
Tm 0.7982 0.4943 0.3039  5 Al 3.01-3.23, 3 Tm 3.23-3.36
Al 0.2255 0.7255 0.5000  4 Al 2.88, 6 Tm 3.17-3.22
Al 0.4756 0.4837 0.4912  3 Al 2.88-3.02, 6 Tm 3.01-3.23
Al 0.4756 0.9844 0.9919  3 Al 2.88-3.02, 6 Tm 3.01-3.23
Al 0.9924 0.4837 0.0081  3 Al 2.88-3.02, 6 Tm 3.01-3.23
Al 0.9924 0.9844 0.5088  3 Al 2.88-3.02, 6 Tm 3.01-3.23

***

Computed, not measured: a relaxed structure of Pr3TmAl4 at the PBE-GGA level of DFT.

## Properties
total magnetic moment = 0.0 Bohr magnetons per cell
space-group type = P4/mmm (123)
E_form = -0.35 eV/atom
D(E_F) = 3.456 states/eV/f.u.

Cell: 3.6981 3.6981 14.9123 Å, 90.00 90.00 90.00°
Last column: nearest neighbours and their distance in Å.
Atoms (fractional coordinates):
Pr 0.0000 0.0000 0.0000  8 Al 3.25
Pr 0.0000 0.0000 0.2584  8 Al 3.25-3.28, 1 Tm 3.60
Pr 0.0000 0.0000 0.7416  8 Al 3.25-3.28, 1 Tm 3.60
Tm 0.0000 0.0000 0.5000  8 Al 3.08
Al 0.5000 0.5000 0.1290  8 Pr 3.25
Al 0.5000 0.5000 0.3909  4 Tm 3.08, 1 Al 3.25, 4 Pr 3.28
Al 0.5000 0.5000 0.6091  4 Tm 3.08, 1 Al 3.25, 4 Pr 3.28
Al 0.5000 0.5000 0.8710  8 Pr 3.25

***

Computed, not measured: a relaxed structure of PrTm3Al8 at the PBE-GGA level of DFT.

## Properties
total magnetic moment = 0.0 Bohr magnetons per cell
space-group type = P3m1 (156)
E_form = -0.48 eV/atom
D(E_F) = 5.811 states/eV/f.u.
energy relative to the lowest polymorph listed for this composition = 0.009 eV/atom

Cell: 5.5571 5.5571 9.1232 Å, 90.00 90.00 120.00°
Last column: nearest neighbours and their distance in Å.
Atoms (fractional coordinates):
Pr 0.0000 0.0000 0.0000  12 Al 3.26-3.32, 4 Tm 3.33-3.45
Tm 0.0000 0.0000 0.3652  12 Al 3.22-3.27, 1 Pr 3.33, 3 Tm 3.43
Tm 0.6667 0.3333 0.4983  12 Al 3.23-3.26, 4 Tm 3.32-3.43
Tm 0.6667 0.3333 0.8619  12 Al 3.24-3.36, 1 Tm 3.32, 3 Pr 3.45
Al 0.1622 0.3244 0.6786  6 Al 2.70-2.85
Al 0.1622 0.8378 0.6786  6 Al 2.70-2.85
Al 0.3333 0.6667 0.4344  6 Al 2.77-2.79
Al 0.3333 0.6667 0.9299  6 Al 2.82-2.87
Al 0.5045 0.0089 0.1875  6 Al 2.70-2.87
Al 0.5045 0.4955 0.1875  6 Al 2.70-2.87
Al 0.6756 0.8378 0.6786  6 Al 2.70-2.85
Al 0.9911 0.4955 0.1875  6 Al 2.70-2.87